VASP calculation (PBE) on an optimized crystal structure of TiTcRh3.

Unit cell a=4.4982 b=4.4982 c=4.4982 alpha=90.00 beta=90.00 gamma=90.00
Closest atoms and distances in Å follow each position.
Atoms (fractional coordinates):
Ti1 0.0000 0.0000 0.0000  6 Rh 2.25
Tc1 0.5000 0.5000 0.5000  12 Rh 3.18
Rh1 0.0000 0.0000 0.5000  2 Ti 2.25
Rh2 0.0000 0.5000 0.0000  2 Ti 2.25
Rh3 0.5000 0.0000 0.0000  2 Ti 2.25

Results
Magnetic moment: 4.1 μB/cell
Theoretical density: 8.294 g/cm³
Symmetry: Pm-3m
ΔH_f (0 K): 0.858 eV/atom
D(E_F): 0.494 states/eV/atom
E above lowest polymorph: 0.0 meV/atom

VASP calculation (PBE) on an optimized crystal structure of Ce2SmU3P6.

Unit cell a=6.9099 b=6.9099 c=7.0420 alpha=99.41 beta=99.41 gamma=120.00
Closest atoms and distances in Å follow each position.
Atoms (fractional coordinates):
Ce1 0.1667 0.8333 0.0000  6 P 2.89
Ce2 0.8333 0.1667 0.0000  6 P 2.89
Sm1 0.5000 0.5000 0.0000  6 P 2.89
U1 0.0000 0.0000 0.5000  6 P 2.79-2.80
U2 0.3338 0.6662 0.5000  6 P 2.79-2.80
U3 0.6662 0.3338 0.5000  6 P 2.79-2.80
P1 0.0785 0.4127 0.7381  3 U 2.79-2.80, 2 Ce 2.89, 1 Sm 2.89
P2 0.2531 0.2531 0.2621  3 U 2.79, 2 Ce 2.89, 1 Sm 2.89
P3 0.4127 0.0785 0.7381  3 U 2.79-2.80, 2 Ce 2.89, 1 Sm 2.89
P4 0.5873 0.9215 0.2619  3 U 2.79-2.80, 2 Ce 2.89, 1 Sm 2.89
P5 0.7469 0.7469 0.7379  3 U 2.79, 2 Ce 2.89, 1 Sm 2.89
P6 0.9215 0.5873 0.2619  3 U 2.79-2.80, 2 Ce 2.89, 1 Sm 2.89

Results
Magnetic moment: 7.8 μB/cell
Theoretical density: 8.029 g/cm³
Symmetry: C2/m
ΔH_f (0 K): -1.237 eV/atom
D(E_F): 1.900 states/eV/atom

VASP calculation (PBE) on an optimized crystal structure of ScHgPdRu2.

Unit cell a=4.8213 b=4.8213 c=4.7804 alpha=90.00 beta=90.00 gamma=90.00
Closest atoms and distances in Å follow each position.
Atoms (fractional coordinates):
Sc1 0.0000 0.0000 0.0000  2 Pd 2.39
Hg1 0.5000 0.5000 0.0000  8 Ru 3.39, 4 Sc 3.41
Pd1 0.0000 0.0000 0.5000  2 Sc 2.39, 4 Ru 2.41
Ru1 0.0000 0.5000 0.5000  2 Pd 2.41
Ru2 0.5000 0.0000 0.5000  2 Pd 2.41

Results
Magnetic moment: 2.5 μB/cell
Theoretical density: 8.281 g/cm³
Symmetry: P4/mmm
ΔH_f (0 K): 1.038 eV/atom
D(E_F): 1.144 states/eV/atom

VASP calculation (PBE) on an optimized crystal structure of TbTm2.

Unit cell a=6.2034 b=6.2034 c=6.6198 alpha=117.95 beta=117.95 gamma=59.97
Closest atoms and distances in Å follow each position.
Atoms (fractional coordinates):
Tb1 0.0845 0.9155 0.7500  10 Tm 3.47-3.59, 2 Tb 3.47
Tb2 0.9155 0.0845 0.2500  10 Tm 3.47-3.59, 2 Tb 3.47
Tm1 0.2506 0.4167 0.2495  7 Tm 3.46-3.59, 5 Tb 3.47-3.59
Tm2 0.4167 0.2506 0.7495  7 Tm 3.46-3.59, 5 Tb 3.47-3.59
Tm3 0.5833 0.7494 0.2505  7 Tm 3.46-3.59, 5 Tb 3.47-3.59
Tm4 0.7494 0.5833 0.7505  7 Tm 3.46-3.59, 5 Tb 3.47-3.59

Results
Magnetic moment: 0.0 μB/cell
Theoretical density: 8.895 g/cm³
Symmetry: C2/c
ΔH_f (0 K): 0.001 eV/atom
D(E_F): 1.693 states/eV/atom
E above lowest polymorph: 0.0 meV/atom

VASP calculation (PBE) on an optimized crystal structure of Tb12DyIn6.

Unit cell a=8.8795 b=8.8795 c=8.8795 alpha=103.64 beta=103.64 gamma=103.64
Closest atoms and distances in Å follow each position.
Atoms (fractional coordinates):
Tb1 0.0000 0.3788 0.6212  4 In 3.01-3.13
Tb2 0.0000 0.6212 0.3788  4 In 3.01-3.13
Tb3 0.0592 0.0592 0.3244  3 In 3.16-3.23
Tb4 0.0592 0.3244 0.0592  3 In 3.16-3.23
Tb5 0.3244 0.0592 0.0592  3 In 3.16-3.23
Tb6 0.3788 0.0000 0.6212  4 In 3.01-3.13
Tb7 0.3788 0.6212 0.0000  4 In 3.01-3.13
Tb8 0.6212 0.0000 0.3788  4 In 3.01-3.13
Tb9 0.6212 0.3788 0.0000  4 In 3.01-3.13
Tb10 0.6756 0.9408 0.9408  3 In 3.16-3.23
Tb11 0.9408 0.6756 0.9408  3 In 3.16-3.23
Tb12 0.9408 0.9408 0.6756  3 In 3.16-3.23
Dy1 0.5000 0.5000 0.5000  6 In 4.46, 18 Tb 4.48-4.75
In1 0.2029 0.7482 0.7482  7 Tb 3.01-3.23
In2 0.2518 0.2518 0.7971  7 Tb 3.01-3.23
In3 0.2518 0.7971 0.2518  7 Tb 3.01-3.23
In4 0.7482 0.2029 0.7482  7 Tb 3.01-3.23
In5 0.7482 0.7482 0.2029  7 Tb 3.01-3.23
In6 0.7971 0.2518 0.2518  7 Tb 3.01-3.23

Results
Magnetic moment: 0.0 μB/cell
Theoretical density: 7.284 g/cm³
Symmetry: R-3m
ΔH_f (0 K): -0.018 eV/atom
D(E_F): 1.510 states/eV/atom

VASP calculation (PBE) on an optimized crystal structure of LiNiSe2.

Unit cell a=4.5479 b=4.5479 c=4.5479 alpha=60.00 beta=60.00 gamma=60.00
Closest atoms and distances in Å follow each position.
Atoms (fractional coordinates):
Li1 0.0000 0.0000 0.0000  4 Se 2.79, 4 Ni 2.79
Ni1 0.2500 0.2500 0.2500  4 Se 2.79, 4 Li 2.79
Se1 0.5000 0.5000 0.5000  4 Se 2.79, 4 Ni 2.79
Se2 0.7500 0.7500 0.7500  4 Se 2.79, 4 Li 2.79

Results
Energy relative to the elements, uncorrected: 0.204 eV per atom
Magnetic moment: 0.0 μB/cell
Theoretical density: 5.581 g/cm³
Symmetry: F-43m
D(E_F): 1.098 states/eV/atom